[1]
The following is a DFT calculation (PBE) of crystalline CdHgC4S4N4 at its relaxed geometry.

Cell lengths 8.608, 8.608, 8.608 Å; angles 95.16, 95.16, 145.08 degrees
Positions (direct):
Cd (0.750, 0.250, 0.500)
Hg (0.000, 0.000, 0.000)
C (0.178, 0.377, 0.337)
C (0.623, 0.960, 0.801)
C (0.040, 0.841, 0.663)
C (0.159, 0.822, 0.199)
S (0.873, 0.614, 0.051)
S (0.563, 0.822, 0.949)
S (0.386, 0.437, 0.260)
S (0.178, 0.127, 0.740)
N (0.361, 0.965, 0.306)
N (0.035, 0.341, 0.396)
N (0.659, 0.055, 0.694)
N (0.945, 0.639, 0.604)

- raw total energy (eV per atom) = -6.1091
- space group = I-4 (82)
- magnetization (μB/cell) = 0.00

[2]
The following is a DFT calculation (PBE) of crystalline Cd3HgC4O12 at its relaxed geometry.

Cell lengths 6.499, 6.499, 6.499 Å; angles 102.47, 102.47, 102.47 degrees
Positions (direct):
Cd (0.523, 0.477, 0.000)
Cd (0.477, 0.000, 0.523)
Cd (0.000, 0.523, 0.477)
Hg (0.000, 0.000, 0.000)
C (0.975, 0.025, 0.500)
C (0.025, 0.500, 0.975)
C (0.500, 0.975, 0.025)
C (0.500, 0.500, 0.500)
O (0.500, 0.372, 0.628)
O (0.898, 0.500, 0.102)
O (0.102, 0.898, 0.500)
O (0.500, 0.102, 0.898)
O (0.374, 0.978, 0.157)
O (0.157, 0.374, 0.978)
O (0.978, 0.157, 0.374)
O (0.626, 0.843, 0.022)
O (0.022, 0.626, 0.843)
O (0.843, 0.022, 0.626)
O (0.628, 0.500, 0.372)
O (0.372, 0.628, 0.500)

- raw total energy (eV per atom) = -6.1914
- space group = R32 (155)
- magnetization (μB/cell) = 0.00

[3]
The following is a DFT calculation (PBE) of crystalline CdHg2OsC at its relaxed geometry.

Cell lengths 4.920, 3.935, 4.920 Å; angles 90.00, 90.00, 90.00 degrees
Positions (direct):
C (0.000, 0.000, 0.000)
Os (0.000, 0.500, 0.000)
Hg (0.000, 0.000, 0.500)
Hg (0.500, 0.000, 0.000)
Cd (0.500, 0.500, 0.500)

- raw total energy (eV per atom) = -3.3916
- space group = P4/mmm (123)
- formation enthalpy at 0 K (eV/atom) = 1.00
- magnetization (μB/cell) = 0.00

[4]
The following is a DFT calculation (PBE) of crystalline Sc2CdHgC at its relaxed geometry.

Cell lengths 4.514, 4.514, 4.608 Å; angles 90.00, 90.00, 90.00 degrees
Positions (direct):
Sc (0.000, 0.500, 0.000)
Sc (0.500, 0.000, 0.000)
C (0.000, 0.000, 0.000)
Hg (0.500, 0.500, 0.500)
Cd (0.000, 0.000, 0.500)

- raw total energy (eV per atom) = -4.8464
- space group = P4/mmm (123)
- formation enthalpy at 0 K (eV/atom) = -0.23
- magnetization (μB/cell) = 0.00

[5]
The following is a DFT calculation (PBE) of crystalline Cd2HgCSe at its relaxed geometry.

Cell lengths 5.533, 5.611, 5.533 Å; angles 90.00, 90.00, 90.00 degrees
Each line ends with the local moment (μB).
Positions (direct):
C (0.500, 0.500, 0.500)  1.05
Hg (0.000, 0.500, 0.000)  0.02
Se (0.000, 0.000, 0.000)  0.02
Cd (0.000, 0.000, 0.500)  -0.01
Cd (0.500, 0.000, 0.000)  -0.01

- raw total energy (eV per atom) = -1.4381
- space group = P4/mmm (123)
- magnetization (μB/cell) = 2.58

[6]
The following is a DFT calculation (PBE) of crystalline Sm2CdHgC at its relaxed geometry.

Cell lengths 4.044, 4.044, 14.362 Å; angles 90.00, 90.00, 90.00 degrees
Positions (direct):
Sm (0.000, 0.500, 0.746)
Sm (0.000, 0.500, 0.080)
Sm (0.500, 0.000, 0.920)
Sm (0.500, 0.000, 0.254)
Cd (0.000, 0.000, 0.500)
Cd (0.500, 0.500, 0.500)
Hg (0.500, 0.000, 0.659)
Hg (0.000, 0.500, 0.341)
C (0.500, 0.000, 0.091)
C (0.000, 0.500, 0.909)

- raw total energy (eV per atom) = -4.1180
- space group = P4/nmm (129)
- formation enthalpy at 0 K (eV/atom) = -0.14
- magnetization (μB/cell) = 0.00